DFT (PBE-GGA) results for a relaxed La4PSe crystal.

Lattice parameters (Å, degrees): 6.281 6.281 6.281 60.00 60.00 60.00
Fractional coordinates of all 6 atoms:
La 0.873 0.376 0.376
La 0.376 0.376 0.873
La 0.376 0.873 0.376
La 0.376 0.376 0.376
P 0.750 0.750 0.750
Se 0.000 0.000 0.000

Properties
Total magnetic moment in μB per formula unit: 0.0
VASP energy in eV/atom: -4.84
Formation energy from raw total energies in eV/atom: -0.07

***

DFT (PBE-GGA) results for a relaxed BaScTa2Ag crystal.

Lattice parameters (Å, degrees): 4.949 6.012 4.949 90.00 90.00 90.00
Site moments in Bohr magnetons follow the coordinates.
Fractional coordinates of all 5 atoms:
Sc 0.000 0.000 0.000  0.02
Ba 0.000 0.500 0.000  0.06
Ag 0.500 0.500 0.500  0.01
Ta 0.000 0.000 0.500  0.40
Ta 0.500 0.000 0.000  0.63

Properties
Total magnetic moment in μB per formula unit: 1.9
VASP energy in eV/atom: -5.27
Formation energy from the elements in eV per atom: 1.69